Compound: LiAl3Pd
Source: Alexandria
Functional: PBE
Structure: relaxed

**M_tot**: 0.0 μB per cell
**Symmetry**: P2_1/c
**Energy relative to the elements**: -397 meV per atom
**ΔE to the lowest computed polymorph**: 0 meV per atom
**N(E_F)**: 1.81 states/eV/f.u.

Cell lengths 6.5837, 6.3362, 7.3757 Å; angles 90.00, 82.80, 90.00 degrees
Last column: nearest neighbours and their distance in Å.
Fractional positions:
Li1 0.4508 0.3613 0.1240  1 Li 2.56, 7 Al 2.60-2.84, 1 Pd 2.72
Li2 0.0492 0.8613 0.3760  1 Li 2.56, 7 Al 2.60-2.84, 1 Pd 2.72
Li3 0.5492 0.6387 0.8760  1 Li 2.56, 7 Al 2.60-2.84, 1 Pd 2.72
Li4 0.9508 0.1387 0.6240  1 Li 2.56, 7 Al 2.60-2.84, 1 Pd 2.72
Al1 0.6611 0.3999 0.5640  2 Li 2.60-2.78, 3 Pd 2.63-2.90, 5 Al 2.74-2.86
Al2 0.8389 0.8999 0.9360  2 Li 2.60-2.78, 3 Pd 2.63-2.90, 5 Al 2.74-2.86
Al3 0.3389 0.6001 0.4360  2 Li 2.60-2.78, 3 Pd 2.63-2.90, 5 Al 2.74-2.86
Al4 0.1611 0.1001 0.0640  2 Li 2.60-2.78, 3 Pd 2.63-2.90, 5 Al 2.74-2.86
Al5 0.2494 0.8816 0.7250  2 Pd 2.58-2.61, 2 Li 2.73-2.84, 5 Al 2.75-2.89
Al6 0.2506 0.3816 0.7750  2 Pd 2.58-2.61, 2 Li 2.73-2.84, 5 Al 2.75-2.89
Al7 0.7506 0.1184 0.2750  2 Pd 2.58-2.61, 2 Li 2.73-2.84, 5 Al 2.75-2.89
Al8 0.7494 0.6184 0.2250  2 Pd 2.58-2.61, 2 Li 2.73-2.84, 5 Al 2.75-2.89
Al9 0.3431 0.1540 0.4358  2 Pd 2.61-2.67, 3 Li 2.67-2.78, 5 Al 2.75-2.89
Al10 0.1569 0.6540 0.0642  2 Pd 2.61-2.67, 3 Li 2.67-2.78, 5 Al 2.75-2.89
Al11 0.6569 0.8460 0.5642  2 Pd 2.61-2.67, 3 Li 2.67-2.78, 5 Al 2.75-2.89
Al12 0.8431 0.3460 0.9358  2 Pd 2.61-2.67, 3 Li 2.67-2.78, 5 Al 2.75-2.89
Pd1 0.0409 0.3791 0.3197  6 Al 2.58-2.67, 1 Li 2.72
Pd2 0.4591 0.8791 0.1803  6 Al 2.58-2.67, 1 Li 2.72
Pd3 0.9591 0.6209 0.6803  6 Al 2.58-2.67, 1 Li 2.72
Pd4 0.5409 0.1209 0.8197  6 Al 2.58-2.67, 1 Li 2.72